! Li2Sc2AlGePt2 (PBE, optimized geometry); values from VASP
&SYSTEM
  ibrav = 0, nat = 8, ntyp = 5
/
ATOMIC_SPECIES
Li 6.94 Li.upf
Sc 44.96 Sc.upf
Al 26.98 Al.upf
Ge 72.64 Ge.upf
Pt 195.08 Pt.upf
CELL_PARAMETERS angstrom
4.4418 0.0000 0.0000
0.0000 4.4418 0.0000
0.0000 0.0000 6.3768
ATOMIC_POSITIONS crystal
Li 0.0000 0.5000 0.2473
Li 0.5000 0.0000 0.7527
Sc 0.0000 0.0000 0.0000
Sc 0.5000 0.5000 0.5000
Al 0.0000 0.0000 0.5000
Ge 0.5000 0.5000 0.0000
Pt 0.0000 0.5000 0.7435
Pt 0.5000 0.0000 0.2565
! Space group: P-4m2
! Total magnetic moment, μB/f.u.: 0.01
! DFT total energy, eV/atom: -5.511